First-principles (PBE) data for a relaxed structure of Ca3AgBi, as listed in the Alexandria database.

a b c (Å): 5.9801 5.9801 5.9801
angles (deg): 90.00 90.00 90.00
Closest atoms and distances in Å follow each position.
Sites, in units of the cell vectors:
Ca 0.0000 0.0000 0.5000  2 Bi 2.99
Ca 0.0000 0.5000 0.0000  2 Bi 2.99
Ca 0.5000 0.0000 0.0000  2 Bi 2.99
Ag 0.5000 0.5000 0.5000  12 Ca 4.23
Bi 0.0000 0.0000 0.0000  6 Ca 2.99

Energy above the lowest structure with this stoichiometry ... 36.6 kJ per mole of atoms
Crystal system ... cubic
Formation energy from the elements ... -0.06 eV per atom

---

First-principles (PBE) data for a relaxed structure of Ca2AgBi, as listed in the Alexandria database.

a b c (Å): 5.3107 5.3107 4.0117
angles (deg): 90.00 90.00 90.00
Closest atoms and distances in Å follow each position.
Sites, in units of the cell vectors:
Ca 0.0000 0.5000 0.0000  4 Bi 3.33, 4 Ag 3.33
Ca 0.5000 0.0000 0.0000  4 Bi 3.33, 4 Ag 3.33
Ag 0.0000 0.0000 0.5000  8 Ca 3.33
Bi 0.5000 0.5000 0.5000  8 Ca 3.33

Crystal system ... tetragonal
Formation energy from the elements ... -0.58 eV per atom

---

First-principles (PBE) data for a relaxed structure of CaAgBi, as listed in the Alexandria database.

a b c (Å): 4.8664 4.8664 8.7720
angles (deg): 106.17 106.17 60.00
Closest atoms and distances in Å follow each position.
Sites, in units of the cell vectors:
Ca 0.0000 0.0000 0.0000  4 Ag 2.94-3.12
Ca 0.1602 0.1602 0.4803  3 Ag 3.13, 3 Bi 3.37-3.38
Ag 0.7215 0.7215 0.1639  3 Bi 2.91, 3 Ca 3.12
Ag 0.8822 0.8822 0.6461  4 Ca 2.94-3.13, 3 Bi 2.95
Bi 0.4187 0.4187 0.2552  3 Ag 2.91
Bi 0.5849 0.5849 0.7541  3 Ag 2.95

Crystal system ... monoclinic
Formation energy from the elements ... -0.46 eV per atom

---

First-principles (PBE) data for a relaxed structure of CaAgBi, as listed in the Alexandria database.

a b c (Å): 4.8588 4.8588 4.1161
angles (deg): 90.00 90.00 120.00
Closest atoms and distances in Å follow each position.
Sites, in units of the cell vectors:
Ca 0.0000 0.0000 0.0000  6 Ag 3.33-3.64, 6 Bi 3.38-3.58
Ag 0.3333 0.6667 0.4349  3 Bi 2.84
Bi 0.6667 0.3333 0.5405  3 Ag 2.84

Crystal system ... trigonal
Formation energy from the elements ... -0.44 eV per atom